This record from Alexandria via LeMat-Bulk describes HfW2F after structural relaxation. The functional is GGA+U.

The structure in CIF format:
```
data_HfW2F
_cell_length_a 5.4627
_cell_length_b 5.4627
_cell_length_c 7.4063
_cell_angle_alpha 68.36
_cell_angle_beta 68.36
_cell_angle_gamma 90.00
_symmetry_space_group_name_H-M 'P 1'
_symmetry_Int_Tables_number 1
loop_
_symmetry_equiv_pos_as_xyz
'x,y,z'
loop_
_atom_site_label
_atom_site_fract_x
_atom_site_fract_y
_atom_site_fract_z
_atom_site_occupancy
W1 0.8750 0.7447 0.7500 1
W2 0.4947 0.1250 0.2500 1
W3 0.2553 0.6250 0.2500 1
W4 0.3750 0.5053 0.7500 1
F1 0.5000 0.5000 0.0000 1
F2 0.2500 0.7500 0.5000 1
Hf1 0.7500 0.2500 0.5000 1
Hf2 0.0000 0.0000 0.0000 1
```

Calculated values
E above lowest polymorph = 0.177 eV/atom
Total moment = 5.20 μB/f.u.